Entry 1:
Material: BeP2Au2
Method: DFT, PBE
State: relaxed

Its density of states at the Fermi level is 0.35 states/eV per atom. As for the spin magnetization: 0.00 μB/f.u. As for the space-group type: P4/mbm (127). Its energy is -0.1537 Ha/atom. The formation energy is 0.19 eV/f.u.

Cell: 5.752 5.752 4.961 Å, 90.00 90.00 90.00°
Fractional coordinates of all 10 atoms:
Au  0.824  0.676  0.500
Au  0.176  0.324  0.500
P  0.364  0.864  0.000
Be  0.500  0.500  0.000
P  0.636  0.136  0.000
P  0.136  0.364  0.000
P  0.864  0.636  0.000
Au  0.324  0.824  0.500
Be  0.000  0.000  0.000
Au  0.676  0.176  0.500



Entry 2:
Material: MgCrTe2
Method: DFT, PBE
State: relaxed

Its density of states at the Fermi level is 0.52 states/eV per atom. As for the spin magnetization: 4.00 μB/f.u. As for the space-group type: R-3m (166). Its energy is -0.1743 Ha/atom.

Cell: 4.149 4.149 7.143 Å, 73.14 73.14 59.97°
Fractional coordinates of all 4 atoms:
Te  0.495  0.495  0.515
Cr  0.750  0.750  0.750
Mg  0.250  0.250  0.250
Te  0.005  0.005  0.985



Entry 3:
Material: HoTm2Cd
Method: DFT, PBE
State: relaxed

Its density of states at the Fermi level is 1.29 states/eV per atom. As for the spin magnetization: 0.00 μB/f.u. As for the space-group type: P4/mmm (123). Its energy is -0.1358 Ha/atom. The formation energy is -0.34 eV/f.u.

Cell: 4.794 4.800 4.800 Å, 90.00 90.00 90.00°
Fractional coordinates of all 4 atoms:
Ho  0.500  0.000  0.000
Cd  0.500  0.500  0.500
Tm  0.000  0.500  0.000
Tm  0.000  0.000  0.500



Entry 4:
Material: SrTl2Pb
Method: DFT, PBE
State: relaxed

Its density of states at the Fermi level is 0.75 states/eV per atom. As for the spin magnetization: 0.00 μB/f.u. As for the space-group type: R-3m (166). Its energy is -0.0962 Ha/atom. The formation energy is -0.35 eV/f.u.

Cell: 10.241 10.241 10.241 Å, 22.46 22.46 22.46°
Fractional coordinates of all 4 atoms:
Tl  0.996  0.996  0.996
Tl  0.504  0.504  0.504
Pb  0.250  0.250  0.250
Sr  0.750  0.750  0.750